! TbVO2 (GGA+U, optimized geometry); values from VASP
&SYSTEM
  ibrav = 0, nat = 16, ntyp = 3
/
ATOMIC_SPECIES
O 16.00 O.upf
V 50.94 V.upf
Tb 158.93 Tb.upf
ATOMIC_POSITIONS crystal
O 0.1740 0.4067 0.2327
O 0.0587 0.8260 0.2327
O 0.6913 0.4240 0.2673
O 0.1740 0.9413 0.7673
V 0.3750 0.1250 0.2500
O 0.5760 0.8433 0.2673
O 0.5933 0.8260 0.7673
V 0.8750 0.1250 0.7500
Tb 0.3750 0.6250 0.2500
O 0.1567 0.4240 0.7327
Tb 0.3750 0.6250 0.7500
Tb 0.8750 0.6250 0.2500
V 0.8750 0.6250 0.7500
Tb 0.3750 0.1250 0.7500
O 0.5760 0.3087 0.7327
V 0.8750 0.1250 0.2500
CELL_PARAMETERS angstrom
-3.1114 3.1114 5.8484
3.1114 -3.1114 5.8484
3.1114 3.1114 -5.8484
! * symmetry: No. 141
! * final energy: -7.650 eV per atom
! * D(E_F): 1.84 states/eV per cell
! * density: 7.094 g cm⁻³